{"formula": "La4CoBiPb", "functional": "PBE", "state": "relaxed", "ef_mev_per_atom": -574, "magnetic_moment_mub_per_atom": 0.00, "cell": [[7.1531, 0.0000, 0.0000], [0.0000, 7.1569, 0.0000], [-3.5765, 0.0000, 8.9067]], "species": ["Bi", "Co", "Pb", "La", "Co", "La", "La", "La", "Bi", "La", "Pb", "La", "La", "La"], "fractional_positions": [[0.6082, 0.7500, 0.2164], [0.7493, 0.2500, 0.4986], [0.8910, 0.7500, 0.7820], [0.0766, 0.7500, 0.1533], [0.2507, 0.7500, 0.5014], [0.9234, 0.2500, 0.8467], [0.4202, 0.7500, 0.8403], [0.0000, 0.0000, 0.5000], [0.3918, 0.2500, 0.7836], [0.5000, 0.5000, 0.5000], [0.1090, 0.2500, 0.2180], [0.5000, 0.0000, 0.5000], [0.0000, 0.5000, 0.5000], [0.5798, 0.2500, 0.1597]]}